Below is a geometry-optimized ThIN structure, with properties calculated at the PBE-GGA level.

The space group is P-6m2 (No. 187) and the conventional cell measures 3.9919, 3.9919 and 5.4070 Å, with angles of 90.00, 90.00 and 120.00 degrees. The distinct sites, in fractional coordinates, are Th at (0.0000, 0.0000, 0.0000), I at (0.6667, 0.3333, 0.5000) and N at (0.3333, 0.6667, 0.0000).

As for the crystal system: hexagonal. The volume is 74.6 Å³ per cell. The uncorrected energy is -7.137 eV/atom. For the uncorrected formation energy, the calculation gives -1372 meV per atom.

=====

Below is a geometry-optimized ThIN structure, with properties calculated at the PBE-GGA level.

The space group is I4mm (No. 107) and the conventional cell measures 3.4758, 3.4758 and 12.3634 Å, with angles of 90.00, 90.00 and 90.00 degrees. The distinct sites, in fractional coordinates, are Th at (0.0000, 0.0000, 0.0000), I at (0.0000, 0.0000, 0.2661) and N at (0.0000, 0.0000, 0.5261).

As for the crystal system: tetragonal. The value obtained for the density of states at the Fermi level is 0.2443 states/eV/atom. The volume is 149.4 Å³ per cell. The uncorrected energy is -6.717 eV/atom. For the uncorrected formation energy, the calculation gives -952 meV per atom.

=====

Below is a geometry-optimized TiI2N2 structure, with properties calculated at the PBE-GGA level.

The space group is P4/mmm (No. 123) and the conventional cell measures 4.0742, 4.0742 and 6.8202 Å, with angles of 90.00, 90.00 and 90.00 degrees. The distinct sites, in fractional coordinates, are Ti at (0.0000, 0.0000, 0.0000), I at (0.5000, 0.5000, 0.0000), I at (0.5000, 0.5000, 0.5000) and N at (0.0000, 0.5000, 0.5000).

As for the crystal system: tetragonal. The value obtained for the density of states at the Fermi level is 1.9636 states/eV/atom. The volume is 113.2 Å³ per cell. The uncorrected energy is -3.623 eV/atom. The calculation puts the energy above the lowest structure with this stoichiometry at 1.178 eV per atom. For the uncorrected formation energy, the calculation gives 1907 meV per atom.

=====

Below is a geometry-optimized TiI2N2 structure, with properties calculated at the PBE-GGA level.

The space group is P4/mmm (No. 123) and the conventional cell measures 4.7014, 4.7014 and 3.9143 Å, with angles of 90.00, 90.00 and 90.00 degrees. The distinct sites, in fractional coordinates, are Ti at (0.0000, 0.0000, 0.0000), I at (0.0000, 0.5000, 0.5000), N at (0.5000, 0.5000, 0.0000) and N at (0.5000, 0.5000, 0.5000).

As for the crystal system: tetragonal. The value obtained for the density of states at the Fermi level is 1.0713 states/eV/atom. The volume is 86.5 Å³ per cell. The uncorrected energy is -3.819 eV/atom. The calculation puts the energy above the lowest structure with this stoichiometry at 0.981 eV per atom. For the uncorrected formation energy, the calculation gives 1710 meV per atom.

=====

Below is a geometry-optimized TiI2N structure, with properties calculated at the PBE-GGA level.

The space group is Fm-3m (No. 225) and the conventional cell measures 7.0832, 7.0832 and 7.0832 Å, with angles of 90.00, 90.00 and 90.00 degrees. The distinct sites, in fractional coordinates, are Ti at (0.0000, 0.0000, 0.0000), I at (0.2500, 0.2500, 0.2500) and N at (0.0000, 0.0000, 0.5000).

As for the crystal system: cubic. The value obtained for the density of states at the Fermi level is 0.4316 states/eV/atom. The volume is 355.4 Å³ per cell. The uncorrected energy is -3.862 eV/atom. The calculation puts the energy above the lowest structure with this stoichiometry at 0.038 eV per atom. For the uncorrected formation energy, the calculation gives 969 meV per atom.

=====

Below is a geometry-optimized TiI2N2 structure, with properties calculated at the PBE-GGA level.

The space group is P4/mmm (No. 123) and the conventional cell measures 5.7259, 5.7259 and 3.7572 Å, with angles of 90.00, 90.00 and 90.00 degrees. The distinct sites, in fractional coordinates, are Ti at (0.0000, 0.0000, 0.0000), I at (0.0000, 0.5000, 0.0000), N at (0.0000, 0.0000, 0.5000) and N at (0.5000, 0.5000, 0.5000).

As for the crystal system: tetragonal. The value obtained for the density of states at the Fermi level is 0.6347 states/eV/atom. The volume is 123.2 Å³ per cell. The uncorrected energy is -4.663 eV/atom. The calculation puts the energy above the lowest structure with this stoichiometry at 0.138 eV per atom. For the uncorrected formation energy, the calculation gives 866 meV per atom.